DFT (PBE) results for a relaxed KLa2As crystal.

Cell lengths 4.221, 4.221, 11.502 Å; angles 99.93, 99.93, 59.93 degrees
Element x y z (fractional)
K1 0.000 0.000 0.000
La1 0.214 0.214 0.650
La2 0.786 0.786 0.350
As1 0.500 0.500 0.500

Calculated values
Formation enthalpy at 0 K = -2.44 eV per formula unit
Space-group type = C2/m



DFT (PBE) results for a relaxed K2LaAs crystal.

Cell lengths 11.812, 11.812, 11.812 Å; angles 22.19, 22.19, 22.19 degrees
Element x y z (fractional)
K1 0.000 0.000 0.000
K2 0.211 0.211 0.211
La1 0.778 0.778 0.778
As1 0.482 0.482 0.482

Calculated values
Formation enthalpy at 0 K = -1.94 eV per formula unit
Space-group type = R3m



DFT (PBE) results for a relaxed KLaAs3 crystal.

Cell lengths 5.741, 5.741, 5.741 Å; angles 90.00, 90.00, 90.00 degrees
Element x y z (fractional)
K1 0.000 0.000 0.000
La1 0.500 0.500 0.500
As1 0.000 0.500 0.500
As2 0.500 0.000 0.500
As3 0.500 0.500 0.000

Calculated values
Formation enthalpy at 0 K = 0.07 eV per formula unit
Space-group type = Pm-3m
Offset from the most stable computed form = 0.000 eV/atom



DFT (PBE) results for a relaxed K2LaAs crystal.

Cell lengths 4.317, 4.189, 10.661 Å; angles 90.00, 101.34, 90.00 degrees
Element x y z (fractional)
K1 0.000 0.000 0.000
K2 0.314 0.500 0.641
La1 0.660 0.000 0.325
As1 0.143 0.500 0.290

Calculated values
Formation enthalpy at 0 K = -2.16 eV per formula unit
Space-group type = Pm



Looking at calculated density for the records above, in order, we have 3.743 2.353 3.534 2.565 g/cm3.